1.
First-principles (GGA-PBE) data for a relaxed structure of LiHfTaV2, as listed in Alexandria via LeMat-Bulk.

## Properties
- formation energy (eV/f.u.) = 6.5
- total magnetization (μB per atom) = 0.5612
- DOS(E_F) (states/eV/f.u.) = 5.83

Geometry as CIF:
```
data_LiHfTaV2
_chemical_formula_sum 'Li1 Hf1 Ta1 V2'
_space_group_name_H-M_alt 'P 4/m m m'
_space_group_IT_number 123
_space_group_name_Hall '-P 4 2'
_cell_length_a 4.703
_cell_length_b 4.703
_cell_length_c 5.196
_cell_angle_alpha 90.00
_cell_angle_beta 90.00
_cell_angle_gamma 90.00
loop_
_atom_site_label
_atom_site_type_symbol
_atom_site_fract_x
_atom_site_fract_y
_atom_site_fract_z
Li1 Li 0.000 0.000 0.000
Hf1 Hf 0.500 0.500 0.000
Ta1 Ta 0.500 0.500 0.500
V1 V 0.000 0.500 0.500
```

---

2.
First-principles (GGA-PBE) data for a relaxed structure of CsMgH2, as listed in Alexandria via LeMat-Bulk.

## Properties
- polymorph energy (0 for the lowest one) (meV/atom) = 443
- total magnetization (μB per atom) = 0.0000
- DOS(E_F) (states/eV/f.u.) = 0.88

Geometry as CIF:
```
data_CsMgH2
_chemical_formula_sum 'Cs4 Mg4 H8'
_space_group_name_H-M_alt 'F m -3 m'
_space_group_IT_number 225
_space_group_name_Hall '-F 4 2 3'
_cell_length_a 6.989
_cell_length_b 6.989
_cell_length_c 6.989
_cell_angle_alpha 90.00
_cell_angle_beta 90.00
_cell_angle_gamma 90.00
loop_
_atom_site_label
_atom_site_type_symbol
_atom_site_fract_x
_atom_site_fract_y
_atom_site_fract_z
Cs1 Cs 0.000 0.000 0.000
Mg1 Mg 0.000 0.000 0.500
H1 H 0.250 0.250 0.250
```

---

3.
First-principles (GGA-PBE) data for a relaxed structure of AlNiAgSe, as listed in Alexandria via LeMat-Bulk.

## Properties
- polymorph energy (0 for the lowest one) (meV/atom) = 81
- total magnetization (μB per atom) = 0.0000
- DOS(E_F) (states/eV/f.u.) = 0.92
- formation energy (no corrections) (eV per atom) = -0.15

Geometry as CIF:
```
data_AlNiAgSe
_chemical_formula_sum 'Al2 Ni2 Ag2 Se2'
_space_group_name_H-M_alt 'C 1 m 1'
_space_group_IT_number 8
_cell_length_a 7.360
_cell_length_b 3.496
_cell_length_c 6.013
_cell_angle_alpha 90.00
_cell_angle_beta 96.84
_cell_angle_gamma 90.00
loop_
_space_group_symop_operation_xyz
'x,y,z'
'x,-y,z'
'x+1/2,y+1/2,z'
'x+1/2,-y+1/2,z'
loop_
_atom_site_label
_atom_site_type_symbol
_atom_site_fract_x
_atom_site_fract_y
_atom_site_fract_z
Al1 Al 0.000 0.000 0.000
Ni1 Ni 0.315 0.000 0.121
Ag1 Ag 0.185 0.500 0.753
Se1 Se 0.134 0.500 0.310
```

---

4.
First-principles (GGA-PBE) data for a relaxed structure of Pa2CuNiN5, as listed in Alexandria via LeMat-Bulk.

## Properties
- total magnetization (μB per atom) = 0.0692
- DOS(E_F) (states/eV/f.u.) = 5.33
- formation energy (no corrections) (eV per atom) = -0.57

Geometry as CIF:
```
data_Pa2CuNiN5
_chemical_formula_sum 'Pa8 Cu4 Ni4 N20'
_space_group_name_H-M_alt 'C m c 21'
_space_group_IT_number 36
_cell_length_a 3.344
_cell_length_b 12.986
_cell_length_c 9.494
_cell_angle_alpha 90.00
_cell_angle_beta 90.00
_cell_angle_gamma 90.00
loop_
_space_group_symop_operation_xyz
'x,y,z'
'-x,-y,z+1/2'
'-x,y,z'
'x,-y,z+1/2'
'x+1/2,y+1/2,z'
'-x+1/2,-y+1/2,z+1/2'
'-x+1/2,y+1/2,z'
'x+1/2,-y+1/2,z+1/2'
loop_
_atom_site_label
_atom_site_type_symbol
_atom_site_fract_x
_atom_site_fract_y
_atom_site_fract_z
Pa1 Pa 0.000 0.105 0.000
Pa2 Pa 0.000 0.147 0.616
Cu1 Cu 0.000 0.463 0.776
Ni1 Ni 0.000 0.205 0.324
N1 N 0.000 0.058 0.381
N2 N 0.000 0.279 0.976
N3 N 0.000 0.316 0.671
N4 N 0.000 0.359 0.313
N5 N 0.000 0.488 0.083
```